## CaH2Pt (GGA-PBE)

Data for a relaxed CaH2Pt crystal.

Unit cell a=3.981 b=4.673 c=12.211 alpha=90.00 beta=90.00 gamma=90.00
Atoms (fractional coordinates):
1 Ca 0.250 0.223 0.381
2 Ca 0.250 0.277 0.881
3 Ca 0.750 0.777 0.619
4 Ca 0.750 0.723 0.119
5 H 0.250 0.588 0.713
6 H 0.250 0.912 0.213
7 H 0.750 0.412 0.287
8 H 0.750 0.088 0.787
9 H 0.250 0.005 0.557
10 H 0.250 0.495 0.057
11 H 0.750 0.995 0.443
12 H 0.750 0.505 0.943
13 Pt 0.250 0.299 0.633
14 Pt 0.250 0.201 0.133
15 Pt 0.750 0.701 0.367
16 Pt 0.750 0.799 0.867

Summary:
Energy relative to the lowest polymorph listed for this composition (meV/atom): 54
Mass density (g/cm3): 6.9
Symmetry: No. 62